Entry 1:
Entry from the Alexandria database: an optimized crystal structure of ZrCoTc2 (PBE).

```
data_ZrCoTc2
_cell_length_a 6.269
_cell_length_b 6.269
_cell_length_c 6.269
_cell_angle_alpha 90.00
_cell_angle_beta 90.00
_cell_angle_gamma 90.00
_symmetry_space_group_name_H-M 'F -4 3 m'
_symmetry_Int_Tables_number 216
_symmetry_space_group_name_Hall 'F -4 2 3'
loop_
_atom_site_label
_atom_site_type_symbol
_atom_site_fract_x
_atom_site_fract_y
_atom_site_fract_z
Zr1 Zr 0.000 0.000 0.000
Co1 Co 0.250 0.250 0.250
Tc1 Tc 0.000 0.000 0.500
Tc2 Tc 0.250 0.250 0.750
```

DFT formation energy ... -18 meV per atom
Excess energy over the best structure of this formula in the dataset ... 0.0079 eV/atom
Total moment ... 7.8 μB/cell

***

Entry 2:
Entry from the Alexandria database: an optimized crystal structure of Zr4Co2Tc (PBE).

```
data_Zr4Co2Tc
_cell_length_a 4.5226
_cell_length_b 4.5226
_cell_length_c 21.8189
_cell_angle_alpha 90.00
_cell_angle_beta 90.00
_cell_angle_gamma 120.00
_symmetry_space_group_name_H-M 'R -3 m'
_symmetry_Int_Tables_number 166
_symmetry_space_group_name_Hall '-R 3 2"'
loop_
_atom_site_label
_atom_site_type_symbol
_atom_site_fract_x
_atom_site_fract_y
_atom_site_fract_z
Zr1 Zr 0.0000 0.0000 0.1208
Zr2 Zr 0.0000 0.0000 0.3721
Co1 Co 0.0000 0.0000 0.2490
Tc1 Tc 0.0000 0.0000 0.5000
```

DFT formation energy ... -237 meV per atom
Total moment ... 0.0 μB/cell

***

Q: Among the records above, which one has the highest total moment?
A: ZrCoTc2